First-principles (PBE) data for a relaxed Si4C3 crystal, as listed in Alexandria.

a b c (Å): 3.762 3.762 7.057
angles (deg): 90.00 90.00 120.00
Sites, in units of the cell vectors:
Si: 0.000 0.000 0.198
Si: 0.000 0.000 0.802
Si: 0.667 0.333 0.500
Si: 0.333 0.667 0.500
C: 0.000 0.500 0.000
C: 0.500 0.500 0.000
C: 0.500 0.000 0.000

ΔE to the lowest computed polymorph, kJ/mol of atoms: 156.2
Energy relative to the elements, uncorrected, meV per atom: 1887
Space-group type: P6/mmm, No. 191
Crystal system: hexagonal
Uncorrected energy, eV per atom: -5.165


First-principles (PBE) data for a relaxed SiC crystal, as listed in Alexandria.

a b c (Å): 2.734 2.734 4.222
angles (deg): 90.00 90.00 90.00
Sites, in units of the cell vectors:
Si: 0.500 0.500 0.000
C: 0.000 0.000 0.000

ΔE to the lowest computed polymorph, kJ/mol of atoms: 127.0
Energy relative to the elements, uncorrected, meV per atom: 1110
Space-group type: P4/mmm, No. 123
Crystal system: tetragonal
Uncorrected energy, eV per atom: -6.213


First-principles (PBE) data for a relaxed Si2C crystal, as listed in Alexandria.

a b c (Å): 4.195 4.195 2.405
angles (deg): 90.00 90.00 120.00
Sites, in units of the cell vectors:
Si: 0.667 0.333 0.000
Si: 0.333 0.667 0.000
C: 0.000 0.000 0.000

ΔE to the lowest computed polymorph, kJ/mol of atoms: 110.7
Energy relative to the elements, uncorrected, meV per atom: 1495
Space-group type: P6/mmm, No. 191
Crystal system: hexagonal
Uncorrected energy, eV per atom: -5.195


First-principles (PBE) data for a relaxed Si2C crystal, as listed in Alexandria.

a b c (Å): 4.334 4.929 6.376
angles (deg): 90.00 90.00 90.00
Sites, in units of the cell vectors:
C: 0.250 0.558 0.365
C: 0.750 0.942 0.865
C: 0.750 0.442 0.635
C: 0.250 0.058 0.135
Si: 0.250 0.950 0.844
Si: 0.750 0.550 0.344
Si: 0.750 0.066 0.582
Si: 0.750 0.050 0.156
Si: 0.250 0.434 0.082
Si: 0.250 0.450 0.656
Si: 0.750 0.566 0.918
Si: 0.250 0.934 0.418

ΔE to the lowest computed polymorph, kJ/mol of atoms: 16.6
Energy relative to the elements, uncorrected, meV per atom: 520
Space-group type: Pnma, No. 62
Crystal system: orthorhombic
Uncorrected energy, eV per atom: -6.170


First-principles (PBE) data for a relaxed Si2C crystal, as listed in Alexandria.

a b c (Å): 4.861 4.861 4.861
angles (deg): 60.00 60.00 60.00
Sites, in units of the cell vectors:
C: 0.750 0.750 0.750
C: 0.500 0.500 0.500
Si: 0.625 0.125 0.125
Si: 0.125 0.625 0.125
Si: 0.125 0.125 0.125
Si: 0.125 0.125 0.625

ΔE to the lowest computed polymorph, kJ/mol of atoms: 178.3
Energy relative to the elements, uncorrected, meV per atom: 2195
Space-group type: Fd-3m, No. 227
Crystal system: cubic
Uncorrected energy, eV per atom: -4.495


First-principles (PBE) data for a relaxed SiC5 crystal, as listed in Alexandria.

a b c (Å): 4.304 4.304 4.304
angles (deg): 60.00 60.00 60.00
Sites, in units of the cell vectors:
C: 0.250 0.250 0.250
C: 0.591 0.591 0.226
C: 0.591 0.226 0.591
C: 0.226 0.591 0.591
C: 0.591 0.591 0.591
Si: 0.000 0.000 0.000

ΔE to the lowest computed polymorph, kJ/mol of atoms: 226.3
Energy relative to the elements, uncorrected, meV per atom: 3252
Space-group type: F-43m, No. 216
Crystal system: cubic
Uncorrected energy, eV per atom: -5.339


First-principles (PBE) data for a relaxed Si2C crystal, as listed in Alexandria.

a b c (Å): 5.488 5.488 4.364
angles (deg): 76.26 76.26 87.66
Sites, in units of the cell vectors:
Si: 0.990 0.293 0.180
Si: 0.434 0.434 0.802
Si: 0.566 0.566 0.198
Si: 0.293 0.990 0.180
Si: 0.707 0.010 0.820
Si: 0.010 0.707 0.820
C: 0.000 0.000 0.000
C: 0.692 0.308 0.500
C: 0.308 0.692 0.500

ΔE to the lowest computed polymorph, kJ/mol of atoms: 37.2
Energy relative to the elements, uncorrected, meV per atom: 733
Space-group type: C2/m, No. 12
Crystal system: monoclinic
Uncorrected energy, eV per atom: -5.957


First-principles (PBE) data for a relaxed SiC crystal, as listed in Alexandria.

a b c (Å): 2.503 2.503 22.712
angles (deg): 90.00 90.00 120.00
Sites, in units of the cell vectors:
C: 0.000 0.000 0.750
C: 0.333 0.667 0.750
C: 0.667 0.333 0.250
C: 0.000 0.000 0.250
Si: 0.667 0.333 0.553
Si: 0.333 0.667 0.053
Si: 0.333 0.667 0.447
Si: 0.667 0.333 0.947

ΔE to the lowest computed polymorph, kJ/mol of atoms: 60.3
Energy relative to the elements, uncorrected, meV per atom: 418
Space-group type: P6_3/mmc, No. 194
Crystal system: hexagonal
Uncorrected energy, eV per atom: -6.905


First-principles (PBE) data for a relaxed SiC crystal, as listed in Alexandria.

a b c (Å): 17.771 17.771 17.771
angles (deg): 10.00 10.00 10.00
Sites, in units of the cell vectors:
C: 0.893 0.893 0.893
C: 0.798 0.798 0.798
C: 0.321 0.321 0.321
C: 0.036 0.036 0.036
C: 0.417 0.417 0.417
C: 0.179 0.179 0.179
C: 0.607 0.607 0.607
Si: 0.762 0.762 0.762
Si: 0.143 0.143 0.143
Si: 0.857 0.857 0.857
Si: 0.286 0.286 0.286
Si: 0.571 0.571 0.571
Si: 0.381 0.381 0.381
Si: 0.000 0.000 0.000

ΔE to the lowest computed polymorph, kJ/mol of atoms: 3.0
Energy relative to the elements, uncorrected, meV per atom: -175
Space-group type: R3m, No. 160
Crystal system: trigonal
Uncorrected energy, eV per atom: -7.499


First-principles (PBE) data for a relaxed SiC2 crystal, as listed in Alexandria.

a b c (Å): 2.536 2.536 13.702
angles (deg): 90.00 90.00 120.00
Sites, in units of the cell vectors:
C: 0.667 0.333 0.484
C: 0.000 0.000 0.151
C: 0.000 0.000 0.849
C: 0.333 0.667 0.817
C: 0.667 0.333 0.183
C: 0.333 0.667 0.516
Si: 0.667 0.333 0.333
Si: 0.333 0.667 0.667
Si: 0.000 0.000 0.000

ΔE to the lowest computed polymorph, kJ/mol of atoms: 4.9
Energy relative to the elements, uncorrected, meV per atom: 383
Space-group type: R-3m, No. 166
Crystal system: trigonal
Uncorrected energy, eV per atom: -7.574


First-principles (PBE) data for a relaxed SiC crystal, as listed in Alexandria.

a b c (Å): 11.635 11.635 11.635
angles (deg): 12.34 12.34 12.34
Sites, in units of the cell vectors:
Si: 0.128 0.128 0.128
Si: 0.872 0.872 0.872
C: 0.333 0.333 0.333
C: 0.667 0.667 0.667

ΔE to the lowest computed polymorph, kJ/mol of atoms: 59.9
Energy relative to the elements, uncorrected, meV per atom: 415
Space-group type: R-3m, No. 166
Crystal system: trigonal
Uncorrected energy, eV per atom: -6.909


First-principles (PBE) data for a relaxed Si2C crystal, as listed in Alexandria.

a b c (Å): 4.787 4.787 5.834
angles (deg): 79.50 79.50 35.10
Sites, in units of the cell vectors:
C: 0.647 0.647 0.166
C: 0.353 0.353 0.834
Si: 0.991 0.991 0.707
Si: 0.306 0.306 0.172
Si: 0.694 0.694 0.828
Si: 0.009 0.009 0.293

ΔE to the lowest computed polymorph, kJ/mol of atoms: 9.2
Energy relative to the elements, uncorrected, meV per atom: 443
Space-group type: C2/m, No. 12
Crystal system: monoclinic
Uncorrected energy, eV per atom: -6.247


Copy entry 12 word for word.
First-principles (PBE) data for a relaxed Si2C crystal, as listed in Alexandria.

a b c (Å): 4.787 4.787 5.834
angles (deg): 79.50 79.50 35.10
Sites, in units of the cell vectors:
C: 0.647 0.647 0.166
C: 0.353 0.353 0.834
Si: 0.991 0.991 0.707
Si: 0.306 0.306 0.172
Si: 0.694 0.694 0.828
Si: 0.009 0.009 0.293

ΔE to the lowest computed polymorph, kJ/mol of atoms: 9.2
Energy relative to the elements, uncorrected, meV per atom: 443
Space-group type: C2/m, No. 12
Crystal system: monoclinic
Uncorrected energy, eV per atom: -6.247